An optimized crystal structure of Li2TaCd2O6, computed with PBE.

Magnetic moment = 2.1 μB per cell
Uncorrected formation energy = -164.8 kJ per mole of atoms
Density of states at the Fermi level = 0.2164 states/eV/atom

a b c (Å): 5.833 9.629 5.396
angles (deg): 90.00 110.50 90.00
Space group C2/m (No. 12)
One atom of each set of equivalent atoms:
Li  0.000  0.149  0.000 (multiplicity 4)
Ta  0.000  0.000  0.500 (multiplicity 2)
Cd  0.000  0.338  0.500 (multiplicity 4)
O  0.200  0.152  0.734 (multiplicity 8)
O  0.217  0.000  0.279 (multiplicity 4)